The following is a DFT calculation (PBE) of a relaxed InHg2Ir crystal.

Cell: 3.136 5.337 4.885 Å, 90.00 91.87 90.00°
Atoms (fractional coordinates):
In1 0.000 0.000 0.000
Hg1 0.257 0.500 0.255
Hg2 0.743 0.500 0.745
Ir1 0.500 0.000 0.500

Results
**E_form**: 0.320 eV/atom
**Energy**: -2.731 eV per atom
**Volume**: 20.43 Å³ per atom
**Space group**: P2/m